1.
Here is FeCu3 after structural relaxation from the Alexandria database. Energies are from PBEsol.

Output
**DFT formation energy**: 0.10 eV per atom
**Density of states at the Fermi level**: 2.55 states/eV/cell
**Crystal system**: hexagonal
**SG**: P-6m2

Cell: 2.497 2.497 8.324 Å, 90.00 90.00 120.00°
Fractional coordinates of all 4 atoms:
Fe (0.000, 0.000, 0.500)
Cu (0.333, 0.667, 0.250)
Cu (0.333, 0.667, 0.750)
Cu (0.000, 0.000, 0.000)

---

2.
Here is TaIr2Pt after structural relaxation from the Alexandria database. Energies are from PBEsol.

Output
**DFT formation energy**: -0.42 eV per atom
**Density of states at the Fermi level**: 3.72 states/eV/cell
**Energy above the lowest structure with this stoichiometry**: 244 meV/atom
**Crystal system**: orthorhombic
**SG**: Pmm2

Cell: 2.754 3.949 5.506 Å, 90.00 90.00 90.00°
Fractional coordinates of all 4 atoms:
Ir (0.000, 0.000, 0.009)
Ir (0.500, 0.500, 0.243)
Pt (0.000, 0.000, 0.495)
Ta (0.500, 0.500, 0.754)

---

3.
Here is Zr2Al2Zn after structural relaxation from the Alexandria database. Energies are from PBEsol.

Output
**DFT formation energy**: -0.37 eV per atom
**Density of states at the Fermi level**: 5.46 states/eV/cell
**Crystal system**: tetragonal
**SG**: P4/mbm

Cell: 4.225 6.567 6.567 Å, 90.00 90.00 90.00°
Fractional coordinates of all 10 atoms:
Zn (0.000, 0.000, 0.000)
Zn (0.000, 0.500, 0.500)
Al (0.000, 0.364, 0.864)
Al (0.000, 0.864, 0.636)
Al (0.000, 0.636, 0.136)
Al (0.000, 0.136, 0.364)
Zr (0.500, 0.168, 0.668)
Zr (0.500, 0.668, 0.832)
Zr (0.500, 0.832, 0.332)
Zr (0.500, 0.332, 0.168)

---

4.
Here is Mg2TlCl after structural relaxation from the Alexandria database. Energies are from PBEsol.

Output
**ΔE_f (raw)**: -483 meV/atom
**Density of states at the Fermi level**: 1.18 states/eV/cell
**Energy above the lowest structure with this stoichiometry**: 46 meV/atom
**Crystal system**: monoclinic
**SG**: Cm

Cell: 3.296 5.075 5.846 Å, 90.80 106.37 90.00°
Fractional coordinates of all 4 atoms:
Cl (0.239, 0.908, 0.478)
Mg (0.016, 0.896, 0.032)
Mg (0.756, 0.294, 0.512)
Tl (0.489, 0.402, 0.978)

---

5.
Here is Al4Ni3Pt after structural relaxation from the Alexandria database. Energies are from PBEsol.

Output
**DFT formation energy**: -0.74 eV per atom
**Density of states at the Fermi level**: 3.08 states/eV/cell
**Crystal system**: tetragonal
**SG**: P4/mmm

Cell: 2.882 2.882 11.904 Å, 90.00 90.00 90.00°
Fractional coordinates of all 8 atoms:
Ni (0.500, 0.500, 0.261)
Ni (0.500, 0.500, 0.500)
Ni (0.500, 0.500, 0.739)
Al (0.000, 0.000, 0.858)
Al (0.000, 0.000, 0.142)
Al (0.000, 0.000, 0.380)
Al (0.000, 0.000, 0.620)
Pt (0.500, 0.500, 0.000)

---

6.
Here is TlCoTc2 after structural relaxation from the Alexandria database. Energies are from PBEsol.

Output
**DFT formation energy**: 0.52 eV per atom
**Density of states at the Fermi level**: 4.03 states/eV/cell
**Energy above the lowest structure with this stoichiometry**: 131 meV/atom
**Crystal system**: monoclinic
**SG**: Cm

Cell: 2.921 4.630 4.813 Å, 102.19 90.00 108.39°
Fractional coordinates of all 4 atoms:
Co (0.261, 0.523, 0.771)
Tc (0.997, 0.995, 0.023)
Tc (0.737, 0.474, 0.182)
Tl (0.504, 0.008, 0.524)

---

7.
Here is TaHPt2 after structural relaxation from the Alexandria database. Energies are from PBEsol.

Output
**Density of states at the Fermi level**: 2.36 states/eV/cell
**Crystal system**: cubic
**SG**: Fm-3m
**Final energy**: -29.057 eV/f.u.

Cell: 4.310 4.310 4.310 Å, 60.00 60.00 60.00°
Fractional coordinates of all 4 atoms:
H (0.000, 0.000, 0.000)
Pt (0.250, 0.250, 0.250)
Pt (0.750, 0.750, 0.750)
Ta (0.500, 0.500, 0.500)

---

8.
Here is Li27As10 after structural relaxation from the Alexandria database. Energies are from PBEsol.

Output
**DFT formation energy**: -0.67 eV per atom
**Density of states at the Fermi level**: 11.77 states/eV/cell
**Crystal system**: monoclinic
**SG**: C2/m

Cell: 7.355 7.360 11.341 Å, 84.02 71.08 71.28°
Fractional coordinates of all 37 atoms:
Li (0.185, 0.349, 0.403)
Li (0.805, 0.500, 0.391)
Li (0.588, 0.349, 0.597)
Li (0.195, 0.500, 0.609)
Li (0.654, 0.887, 0.412)
Li (0.412, 0.651, 0.403)
Li (0.971, 0.383, 0.819)
Li (0.066, 0.887, 0.588)
Li (0.352, 0.385, 0.000)
Li (0.815, 0.651, 0.597)
Li (0.603, 0.500, 0.794)
Li (0.790, 0.383, 0.181)
Li (0.934, 0.113, 0.412)
Li (0.490, 0.883, 0.786)
Li (0.210, 0.617, 0.819)
Li (0.886, 0.854, 0.000)
Li (0.103, 0.000, 0.794)
Li (0.346, 0.113, 0.588)
Li (0.648, 0.615, 0.000)
Li (0.397, 0.500, 0.206)
Li (0.276, 0.883, 0.214)
Li (0.724, 0.117, 0.786)
Li (0.029, 0.617, 0.181)
Li (0.500, 0.000, 0.000)
Li (0.897, 0.000, 0.206)
Li (0.114, 0.146, 0.000)
Li (0.510, 0.117, 0.214)
As (0.564, 0.266, 0.390)
As (0.954, 0.266, 0.610)
As (0.348, 0.249, 0.798)
As (0.436, 0.734, 0.610)
As (0.735, 0.237, 0.000)
As (0.854, 0.751, 0.798)
As (0.146, 0.249, 0.202)
As (0.265, 0.763, 0.000)
As (0.652, 0.751, 0.202)
As (0.046, 0.734, 0.390)

---

9.
Here is Ca2H6Ru after structural relaxation from the Alexandria database. Energies are from PBEsol.

Output
**Density of states at the Fermi level**: 0.00 states/eV/cell
**Crystal system**: cubic
**SG**: Fm-3m
**Final energy**: -39.991 eV/f.u.

Cell: 5.004 5.004 5.004 Å, 60.00 60.00 60.00°
Fractional coordinates of all 9 atoms:
Ru (0.000, 0.000, 0.000)
Ca (0.250, 0.250, 0.250)
Ca (0.750, 0.750, 0.750)
H (0.241, 0.759, 0.241)
H (0.759, 0.759, 0.241)
H (0.241, 0.759, 0.759)
H (0.759, 0.241, 0.759)
H (0.241, 0.241, 0.759)
H (0.759, 0.241, 0.241)

---

10.
Here is ZrTc2Sb after structural relaxation from the Alexandria database. Energies are from PBEsol.

Output
**ΔE_f (raw)**: -64 meV/atom
**Density of states at the Fermi level**: 2.67 states/eV/cell
**Crystal system**: orthorhombic
**SG**: Pmm2

Cell: 3.095 4.145 5.359 Å, 90.00 90.00 90.00°
Fractional coordinates of all 4 atoms:
Sb (0.500, 0.500, 0.764)
Tc (0.000, 0.000, 0.009)
Tc (0.500, 0.500, 0.245)
Zr (0.000, 0.000, 0.482)

---

11.
Here is Fe after structural relaxation from the Alexandria database. Energies are from PBEsol.

Output
**DFT formation energy**: 1.32 eV per atom
**Density of states at the Fermi level**: 2.49 states/eV/cell
**Energy above the lowest structure with this stoichiometry**: 1317 meV/atom
**Crystal system**: cubic
**SG**: Fd-3m

Cell: 3.394 3.394 3.394 Å, 60.00 60.00 60.00°
Fractional coordinates of all 2 atoms:
Fe (0.250, 0.250, 0.250)
Fe (0.000, 0.000, 0.000)

---

12.
Here is CuOs2Cl after structural relaxation from the Alexandria database. Energies are from PBEsol.

Output
**ΔE_f (raw)**: 981 meV/atom
**Density of states at the Fermi level**: 4.32 states/eV/cell
**Energy above the lowest structure with this stoichiometry**: 0 meV/atom
**Crystal system**: monoclinic
**SG**: P2/m

Cell: 2.755 4.236 5.007 Å, 90.00 98.76 90.00°
Fractional coordinates of all 4 atoms:
Cl (0.500, 0.500, 0.500)
Cu (0.000, 0.500, 0.000)
Os (0.661, 0.000, 0.777)
Os (0.339, 0.000, 0.223)